# 1
The following is a GGA-PBE calculation of an optimized crystal structure of Ho2SnRh3, from the Alexandria database.

Values from the calculation:
- Uncorrected energy: -0.4924 Ry/atom
- Fermi-level density of states: 10.15 states/eV per cell

abc: 4.746 4.746 11.546
angles: 90.00 90.00 120.00
Fractional coordinates of all 12 atoms:
1 Rh 0.333 0.667 0.913
2 Rh 0.667 0.333 0.087
3 Rh 0.000 0.000 0.253
4 Rh 0.333 0.667 0.421
5 Rh 0.667 0.333 0.579
6 Rh 0.000 0.000 0.747
7 Ho 0.000 0.000 0.500
8 Ho 0.333 0.667 0.176
9 Ho 0.667 0.333 0.824
10 Ho 0.000 0.000 0.000
11 Sn 0.333 0.667 0.665
12 Sn 0.667 0.333 0.335



# 2
The following is a GGA-PBE calculation of an optimized crystal structure of HoSnRh2, from the Alexandria database.

Values from the calculation:
- Uncorrected energy: -0.4789 Ry/atom
- Fermi-level density of states: 2.20 states/eV per cell

abc: 3.421 3.421 6.316
angles: 90.00 90.00 90.00
Fractional coordinates of all 4 atoms:
1 Rh 0.000 0.000 0.767
2 Rh 0.000 0.000 0.233
3 Ho 0.500 0.500 0.500
4 Sn 0.500 0.500 0.000